Entry 1:
The following is a DFT calculation (PBE) of a relaxed SbH2Cl6 crystal.

a b c (Å): 13.6320 17.2681 5.6624
angles (deg): 90.00 113.39 90.00
Closest atoms and distances in Å follow each position.
Space group C2/c (No. 15)
Symmetry-distinct sites (fractional):
1 Sb 0.0000 0.1814 0.2500 [4 per cell]  4 Cl 2.40-2.41
2 H 0.1438 0.4823 0.5013 [8 per cell]  1 Cl 1.31
3 Cl 0.1086 0.0981 0.5927 [8 per cell]  1 Sb 2.40
4 Cl 0.1162 0.2599 0.1197 [8 per cell]  1 Sb 2.41
5 Cl 0.1433 0.4356 0.6827 [8 per cell]  1 H 1.31

## Properties
Energy above the most stable polymorph in this dataset (meV per atom): 15

---

Entry 2:
The following is a DFT calculation (PBE) of a relaxed SbHCl3 crystal.

a b c (Å): 6.2513 7.5350 15.4981
angles (deg): 99.70 90.12 90.35
Closest atoms and distances in Å follow each position.
Space group P-1 (No. 2)
Symmetry-distinct sites (fractional):
1 Sb 0.2503 0.0007 0.0017 [2 per cell]  2 Cl 2.37-2.40
2 Sb 0.2499 0.4968 0.5013 [2 per cell]  2 Cl 2.37-2.40
3 H 0.2482 0.8020 0.3124 [2 per cell]  1 Cl 1.29
4 H 0.2509 0.2119 0.7880 [2 per cell]  1 Cl 1.29
5 Cl 0.2472 0.9680 0.3004 [2 per cell]  1 H 1.29
6 Cl 0.2479 0.7043 0.0342 [2 per cell]  1 Sb 2.37
7 Cl 0.2487 0.4903 0.3462 [2 per cell]  1 Sb 2.40, 1 H 2.49
8 Cl 0.2490 0.9227 0.8452 [2 per cell]  1 Sb 2.40, 1 H 2.49
9 Cl 0.2535 0.3792 0.7781 [2 per cell]  1 H 1.29
10 Cl 0.2525 0.8137 0.5469 [2 per cell]  1 Sb 2.37

## Properties
Energy above the most stable polymorph in this dataset (meV per atom): 0

---

Entry 3:
The following is a DFT calculation (PBE) of a relaxed SbHCl4 crystal.

a b c (Å): 6.1084 7.5969 9.7017
angles (deg): 81.09 75.45 84.98
Closest atoms and distances in Å follow each position.
Space group P-1 (No. 2)
Symmetry-distinct sites (fractional):
1 Sb 0.0551 0.2718 0.3822 [2 per cell]  3 Cl 2.42-2.43
2 H 0.3363 0.7357 0.8512 [2 per cell]  1 Cl 1.31
3 Cl 0.1396 0.8223 0.8837 [2 per cell]  1 H 1.31
4 Cl 0.2070 0.3404 0.5750 [2 per cell]  1 Sb 2.43
5 Cl 0.2714 0.9904 0.3635 [2 per cell]  1 Sb 2.42
6 Cl 0.3364 0.4327 0.1958 [2 per cell]  1 H 2.26, 1 Sb 2.42

## Properties
E (eV/cell): -38.84

---

no.,volume (Å³ per atom)
1,34.0
2,36.0
3,35.8